The following is a DFT calculation (GGA-PBE) of a relaxed CoReOs crystal.

Cell: 5.7470 5.7470 5.7470 Å, 90.00 90.00 90.00°
Last column: nearest neighbours and their distance in Å.
Space group F-43m (No. 216)
Unique sites:
Co (0.0000, 0.0000, 0.0000)  4 Re 2.49
Re (0.2500, 0.2500, 0.2500)  4 Co 2.49, 4 Os 2.49
Os (0.0000, 0.0000, 0.5000)  4 Re 2.49

Computed properties:
total magnetic moment	0.05	μB/f.u.
total DFT energy (no corrections)	-9.7057	eV per atom
ρ	15235	kg/m3
relative energy among the computed polymorphs	0.000	eV/atom


The following is a DFT calculation (GGA-PBE) of a relaxed CoRe2Os crystal.

Cell: 6.0423 6.0423 6.0423 Å, 90.00 90.00 90.00°
Last column: nearest neighbours and their distance in Å.
Space group F-43m (No. 216)
Unique sites:
Co (0.0000, 0.0000, 0.0000)  4 Re 2.62, 4 Os 2.62
Re (0.0000, 0.0000, 0.5000)  4 Os 2.62, 4 Re 2.62
Re (0.2500, 0.2500, 0.2500)  4 Re 2.62, 4 Co 2.62
Os (0.2500, 0.2500, 0.7500)  4 Co 2.62, 4 Re 2.62

Computed properties:
total magnetic moment	0.37	μB/f.u.
total DFT energy (no corrections)	-10.4644	eV per atom
ρ	18715	kg/m3


The following is a DFT calculation (GGA-PBE) of a relaxed CoReSiOs crystal.

Cell: 5.9523 5.9523 5.9523 Å, 90.00 90.00 90.00°
Last column: nearest neighbours and their distance in Å.
Space group F-43m (No. 216)
Unique sites:
Co (0.0000, 0.0000, 0.0000)  4 Os 2.58, 4 Si 2.58
Re (0.0000, 0.0000, 0.5000)  4 Os 2.58, 4 Si 2.58
Si (0.2500, 0.2500, 0.7500)  4 Co 2.58, 4 Re 2.58
Os (0.2500, 0.2500, 0.2500)  4 Re 2.58, 4 Co 2.58

Computed properties:
total magnetic moment	1.39	μB/f.u.
total DFT energy (no corrections)	-8.8758	eV per atom
ρ	14597	kg/m3
relative energy among the computed polymorphs	0.000	eV/atom


The following is a DFT calculation (GGA-PBE) of a relaxed CoReSnOs crystal.

Cell: 6.2310 6.2310 6.2310 Å, 90.00 90.00 90.00°
Last column: nearest neighbours and their distance in Å.
Space group F-43m (No. 216)
Unique sites:
Co (0.0000, 0.0000, 0.0000)  4 Sn 2.70, 4 Re 2.70
Re (0.2500, 0.2500, 0.2500)  4 Co 2.70, 4 Os 2.70
Sn (0.2500, 0.2500, 0.7500)  4 Co 2.70, 4 Os 2.70
Os (0.0000, 0.0000, 0.5000)  4 Sn 2.70, 4 Re 2.70

Computed properties:
total magnetic moment	1.80	μB/f.u.
total DFT energy (no corrections)	-8.2079	eV per atom
ρ	15213	kg/m3
relative energy among the computed polymorphs	0.000	eV/atom


The following is a DFT calculation (GGA-PBE) of a relaxed CoSb4Os crystal.

Cell: 5.8417 3.2958 6.5904 Å, 90.00 90.19 90.00°
Last column: nearest neighbours and their distance in Å.
Space group P2/m (No. 10)
Unique sites:
Co (0.0000, 0.0000, 0.0000)  6 Sb 2.54-2.58
Sb (0.1807, 0.0000, 0.6501)  1 Co 2.54, 2 Os 2.68
Sb (0.3029, 0.5000, 0.1363)  2 Co 2.58, 1 Os 2.66
Os (0.5000, 0.5000, 0.5000)  6 Sb 2.66-2.68

Computed properties:
total magnetic moment	0.00	μB/f.u.
total DFT energy (no corrections)	-5.8885	eV per atom
ρ	9635	kg/m3


The following is a DFT calculation (GGA-PBE) of a relaxed ScCoSbOs crystal.

Cell: 6.4501 6.4501 6.4501 Å, 90.00 90.00 90.00°
Last column: nearest neighbours and their distance in Å.
Space group F-43m (No. 216)
Unique sites:
Sc (0.0000, 0.0000, 0.0000)  4 Os 2.79, 4 Sb 2.79
Co (0.0000, 0.0000, 0.5000)  4 Sb 2.79, 4 Os 2.79
Sb (0.2500, 0.2500, 0.2500)  4 Co 2.79, 4 Sc 2.79
Os (0.2500, 0.2500, 0.7500)  4 Co 2.79, 4 Sc 2.79

Computed properties:
total magnetic moment	2.58	μB/f.u.
total DFT energy (no corrections)	-6.9705	eV per atom
ρ	10294	kg/m3
relative energy among the computed polymorphs	0.449	eV/atom


- The lowest ρ belongs to which entry?
  CoSb4Os


- Number 3 is which compound?
  CoReSiOs


Copy entry 6 word for word.
The following is a DFT calculation (GGA-PBE) of a relaxed ScCoSbOs crystal.

Cell: 6.4501 6.4501 6.4501 Å, 90.00 90.00 90.00°
Last column: nearest neighbours and their distance in Å.
Space group F-43m (No. 216)
Unique sites:
Sc (0.0000, 0.0000, 0.0000)  4 Os 2.79, 4 Sb 2.79
Co (0.0000, 0.0000, 0.5000)  4 Sb 2.79, 4 Os 2.79
Sb (0.2500, 0.2500, 0.2500)  4 Co 2.79, 4 Sc 2.79
Os (0.2500, 0.2500, 0.7500)  4 Co 2.79, 4 Sc 2.79

Computed properties:
total magnetic moment	2.58	μB/f.u.
total DFT energy (no corrections)	-6.9705	eV per atom
ρ	10294	kg/m3
relative energy among the computed polymorphs	0.449	eV/atom